# 1
Computed, not measured: a relaxed structure of K2ZrSi2O7 at the PBEsol level of DFT.

Structure (CIF):
```
data_K2ZrSi2O7
_chemical_formula_sum 'K8 Zr4 Si8 O28'
_cell_length_a 5.6027
_cell_length_b 9.5587
_cell_length_c 12.9856
_cell_angle_alpha 103.78
_cell_angle_beta 90.00
_cell_angle_gamma 90.00
_symmetry_space_group_name_H-M 'P 1'
_symmetry_Int_Tables_number 1
loop_
_symmetry_equiv_pos_as_xyz
'x,y,z'
loop_
_atom_site_label
_atom_site_fract_x
_atom_site_fract_y
_atom_site_fract_z
_atom_site_occupancy
O1 0.4981 0.6337 0.3816 1
Si1 0.2532 0.2767 0.6125 1
O2 0.4654 0.6054 0.8058 1
K1 0.2497 0.6101 0.5727 1
O3 0.2495 0.6666 0.1910 1
O4 0.7705 0.8324 0.5078 1
O5 0.0019 0.1337 0.8816 1
Zr1 0.2520 0.5061 0.2743 1
Si2 0.7532 0.2233 0.8875 1
Si3 0.2468 0.7767 0.1125 1
Zr2 0.7480 0.4939 0.7257 1
O6 0.7295 0.3324 0.0078 1
Zr3 0.7520 0.9939 0.2257 1
O7 0.2470 0.3661 0.3776 1
O8 0.9654 0.8946 0.6942 1
O9 0.5346 0.3946 0.1942 1
O10 0.0346 0.1054 0.3058 1
O11 0.5108 0.1214 0.3259 1
O12 0.9892 0.6214 0.8259 1
Si4 0.7468 0.7233 0.3875 1
K2 0.2433 0.8810 0.3930 1
O13 0.7530 0.6339 0.6224 1
K3 0.7567 0.1190 0.6070 1
Si5 0.2430 0.6944 0.8704 1
O14 0.7495 0.8334 0.3090 1
K4 0.2503 0.1101 0.0727 1
Si6 0.7430 0.8056 0.6296 1
Si7 0.2570 0.1944 0.3704 1
O15 0.4791 0.8818 0.1302 1
Si8 0.7570 0.3056 0.1296 1
O16 0.0108 0.3786 0.1741 1
O17 0.7470 0.1339 0.1224 1
K5 0.7503 0.3899 0.4273 1
O18 0.7505 0.3334 0.8090 1
O19 0.9791 0.6182 0.3698 1
Zr4 0.2480 0.0061 0.7743 1
O20 0.4892 0.8786 0.6741 1
O21 0.5019 0.3663 0.6184 1
K6 0.7497 0.8899 0.9273 1
O22 0.9981 0.8663 0.1184 1
O23 0.5209 0.1182 0.8698 1
K7 0.2567 0.3810 0.8930 1
O24 0.2530 0.8661 0.8776 1
O25 0.2295 0.1676 0.4922 1
O26 0.2705 0.6676 0.9922 1
K8 0.7433 0.6190 0.1070 1
O27 0.2505 0.1666 0.6910 1
O28 0.0209 0.3818 0.6302 1
```

## Properties
Its symmetry is P2_1/c, No. 14. Its formation energy from raw total energies is -2834 meV per atom. Its energy above the most stable polymorph in this dataset is 0.00 eV/f.u. As for the crystal system: monoclinic.

***

# 2
Computed, not measured: a relaxed structure of Mo5Ir at the PBEsol level of DFT.

Structure (CIF):
```
data_Mo5Ir
_chemical_formula_sum 'Mo5 Ir1'
_cell_length_a 4.5032
_cell_length_b 4.8247
_cell_length_c 4.8247
_cell_angle_alpha 120.00
_cell_angle_beta 90.00
_cell_angle_gamma 90.00
_symmetry_space_group_name_H-M 'P 1'
_symmetry_Int_Tables_number 1
loop_
_symmetry_equiv_pos_as_xyz
'x,y,z'
loop_
_atom_site_label
_atom_site_fract_x
_atom_site_fract_y
_atom_site_fract_z
_atom_site_occupancy
Ir1 0.5000 0.0000 0.0000 1
Mo1 0.0000 0.3295 0.3295 1
Mo2 0.5000 0.6667 0.3333 1
Mo3 0.0000 0.0000 0.6705 1
Mo4 0.0000 0.6705 0.0000 1
Mo5 0.5000 0.3333 0.6667 1
```

## Properties
As for the formation energy: 0.1993 eV per atom. Its symmetry is P-62m, No. 189. Its energy above the most stable polymorph in this dataset is 0.13 eV/f.u. As for the crystal system: hexagonal.

***

# 3
Computed, not measured: a relaxed structure of Mg2OsCl at the PBEsol level of DFT.

Structure (CIF):
```
data_Mg2OsCl
_chemical_formula_sum 'Mg2 Os1 Cl1'
_cell_length_a 2.8922
_cell_length_b 2.8922
_cell_length_c 9.5503
_cell_angle_alpha 90.00
_cell_angle_beta 90.00
_cell_angle_gamma 113.85
_symmetry_space_group_name_H-M 'P 1'
_symmetry_Int_Tables_number 1
loop_
_symmetry_equiv_pos_as_xyz
'x,y,z'
loop_
_atom_site_label
_atom_site_fract_x
_atom_site_fract_y
_atom_site_fract_z
_atom_site_occupancy
Os1 0.0000 0.0000 0.5287 1
Cl1 0.5000 0.5000 0.2008 1
Mg1 0.0000 0.0000 0.0233 1
Mg2 0.5000 0.5000 0.7472 1
```

## Properties
Its symmetry is Cmm2, No. 35. Its formation energy from raw total energies is 294 meV per atom. Its energy above the most stable polymorph in this dataset is 1.70 eV/f.u. As for the crystal system: orthorhombic.

***

# 4
Computed, not measured: a relaxed structure of Cr3P3O13 at the PBEsol level of DFT.

Structure (CIF):
```
data_Cr3P3O13
_chemical_formula_sum 'Cr6 P6 O26'
_cell_length_a 6.1680
_cell_length_b 7.2983
_cell_length_c 10.3349
_cell_angle_alpha 100.38
_cell_angle_beta 90.00
_cell_angle_gamma 90.00
_symmetry_space_group_name_H-M 'P 1'
_symmetry_Int_Tables_number 1
loop_
_symmetry_equiv_pos_as_xyz
'x,y,z'
loop_
_atom_site_label
_atom_site_fract_x
_atom_site_fract_y
_atom_site_fract_z
_atom_site_occupancy
Cr1 0.5000 0.0000 0.0000 1
O1 0.7500 0.3196 0.3590 1
P1 0.2500 0.2689 0.2284 1
O2 0.7500 0.9133 0.8818 1
Cr2 0.7500 0.7656 0.4493 1
O3 0.5450 0.8086 0.0998 1
O4 0.7500 0.4974 0.0490 1
Cr3 0.0000 0.0000 0.0000 1
O5 0.2500 0.6804 0.6410 1
O6 0.7500 0.6546 0.2667 1
Cr4 0.2500 0.2344 0.5507 1
O7 0.9510 0.2709 0.5583 1
Cr5 0.2500 0.6347 0.8115 1
O8 0.9483 0.6193 0.7978 1
O9 0.0490 0.7291 0.4417 1
O10 0.2500 0.8638 0.9125 1
P2 0.2500 0.7872 0.5268 1
O11 0.2500 0.9982 0.5846 1
O12 0.5490 0.2709 0.5583 1
O13 0.2500 0.2110 0.3636 1
O14 0.2500 0.0867 0.1182 1
O15 0.7500 0.1362 0.0875 1
P3 0.7500 0.2128 0.4732 1
O16 0.5517 0.6193 0.7978 1
O17 0.4550 0.1914 0.9002 1
O18 0.7500 0.7890 0.6364 1
P4 0.2500 0.2971 0.8755 1
O19 0.4483 0.3807 0.2022 1
O20 0.2500 0.5026 0.9510 1
O21 0.0450 0.1914 0.9002 1
P5 0.7500 0.7029 0.1245 1
O22 0.9550 0.8086 0.0998 1
O23 0.2500 0.3454 0.7333 1
Cr6 0.7500 0.3653 0.1885 1
O24 0.0517 0.3807 0.2022 1
O25 0.7500 0.0018 0.4154 1
P6 0.7500 0.7311 0.7716 1
O26 0.4510 0.7291 0.4417 1
```

## Properties
Its symmetry is P2_1/m, No. 11. Its formation energy from raw total energies is -2003 meV per atom. As for the crystal system: monoclinic.

***

# 5
Computed, not measured: a relaxed structure of FeGeAs2Br at the PBEsol level of DFT.

Structure (CIF):
```
data_FeGeAs2Br
_chemical_formula_sum 'Fe1 Ge1 As2 Br1'
_cell_length_a 4.4125
_cell_length_b 4.4125
_cell_length_c 5.1839
_cell_angle_alpha 90.00
_cell_angle_beta 90.00
_cell_angle_gamma 90.00
_symmetry_space_group_name_H-M 'P 1'
_symmetry_Int_Tables_number 1
loop_
_symmetry_equiv_pos_as_xyz
'x,y,z'
loop_
_atom_site_label
_atom_site_fract_x
_atom_site_fract_y
_atom_site_fract_z
_atom_site_occupancy
Br1 0.0000 0.0000 0.5000 1
As1 0.5000 0.0000 0.0000 1
Fe1 0.0000 0.0000 0.0000 1
Ge1 0.5000 0.5000 0.5000 1
As2 0.0000 0.5000 0.0000 1
```

## Properties
Its symmetry is P4/mmm, No. 123. Its formation energy from raw total energies is 423 meV per atom. Its energy above the most stable polymorph in this dataset is 0.00 eV/f.u. As for the crystal system: tetragonal.

***

# 6
Computed, not measured: a relaxed structure of NiSb2Pt at the PBEsol level of DFT.

Structure (CIF):
```
data_NiSb2Pt
_chemical_formula_sum 'Ni1 Sb2 Pt1'
_cell_length_a 3.2281
_cell_length_b 3.2274
_cell_length_c 6.8515
_cell_angle_alpha 90.00
_cell_angle_beta 89.96
_cell_angle_gamma 90.00
_symmetry_space_group_name_H-M 'P 1'
_symmetry_Int_Tables_number 1
loop_
_symmetry_equiv_pos_as_xyz
'x,y,z'
loop_
_atom_site_label
_atom_site_fract_x
_atom_site_fract_y
_atom_site_fract_z
_atom_site_occupancy
Sb1 0.0008 0.0000 0.2371 1
Ni1 0.5000 0.5000 0.0000 1
Pt1 0.5000 0.5000 0.5000 1
Sb2 0.9992 0.0000 0.7629 1
```

## Properties
Its symmetry is P4/mmm, No. 123. Its formation energy from raw total energies is 18 meV per atom. Its energy above the most stable polymorph in this dataset is 0.62 eV/f.u. As for the crystal system: tetragonal.

***

# 7
Computed, not measured: a relaxed structure of Sc3SiSb at the PBEsol level of DFT.

Structure (CIF):
```
data_Sc3SiSb
_chemical_formula_sum 'Sc3 Si1 Sb1'
_cell_length_a 4.9010
_cell_length_b 4.9010
_cell_length_c 4.9010
_cell_angle_alpha 90.00
_cell_angle_beta 90.00
_cell_angle_gamma 90.00
_symmetry_space_group_name_H-M 'P 1'
_symmetry_Int_Tables_number 1
loop_
_symmetry_equiv_pos_as_xyz
'x,y,z'
loop_
_atom_site_label
_atom_site_fract_x
_atom_site_fract_y
_atom_site_fract_z
_atom_site_occupancy
Sc1 0.0000 0.5000 0.0000 1
Sc2 0.5000 0.0000 0.0000 1
Sb1 0.5000 0.5000 0.5000 1
Sc3 0.0000 0.0000 0.5000 1
Si1 0.0000 0.0000 0.0000 1
```

## Properties
Its symmetry is Pm-3m, No. 221. Its formation energy from raw total energies is -429 meV per atom. As for the crystal system: cubic.

***

# 8
Computed, not measured: a relaxed structure of CaAgAs2 at the PBEsol level of DFT.

Structure (CIF):
```
data_CaAgAs2
_chemical_formula_sum 'Ca1 Ag1 As2'
_cell_length_a 3.7583
_cell_length_b 3.7583
_cell_length_c 5.8162
_cell_angle_alpha 90.00
_cell_angle_beta 90.00
_cell_angle_gamma 90.00
_symmetry_space_group_name_H-M 'P 1'
_symmetry_Int_Tables_number 1
loop_
_symmetry_equiv_pos_as_xyz
'x,y,z'
loop_
_atom_site_label
_atom_site_fract_x
_atom_site_fract_y
_atom_site_fract_z
_atom_site_occupancy
As1 0.0000 0.0000 0.9743 1
As2 0.5000 0.5000 0.2554 1
Ag1 0.5000 0.5000 0.8015 1
Ca1 0.0000 0.0000 0.4689 1
```

## Properties
As for the formation energy: -0.2312 eV per atom. Its symmetry is P4mm, No. 99. As for the crystal system: tetragonal.

***

Quick rundown of magnetic moment, same order as above: 0.0 0.0 0.0 14.0 0.0 0.0 0.0 0.0 μB/cell